--- one ---
First-principles (PBE-GGA) data for a geometry-optimized Y2Zn2Hg structure, as listed in the Alexandria database.

Calculated volume in Å³/cell: 249
Crystal system: tetragonal

abc: 5.651 5.651 7.787
angles: 90.00 90.00 90.00
Space group I4/mmm (No. 139)
One atom of each set of equivalent atoms:
Y (0.000, 0.500, 0.250) x4
Zn (0.000, 0.000, 0.148) x4
Hg (0.000, 0.000, 0.500) x2

--- two ---
First-principles (PBE-GGA) data for a geometry-optimized Y2Zn2Hg structure, as listed in the Alexandria database.

Calculated volume in Å³/cell: 241
Crystal system: tetragonal

abc: 3.630 3.630 18.277
angles: 90.00 90.00 90.00
Space group I4/mmm (No. 139)
One atom of each set of equivalent atoms:
Y (0.000, 0.000, 0.108) x4
Zn (0.000, 0.500, 0.250) x4
Hg (0.000, 0.000, 0.500) x2

--- three ---
First-principles (PBE-GGA) data for a geometry-optimized Y2Zn2Hg structure, as listed in the Alexandria database.

Calculated volume in Å³/cell: 249
Crystal system: tetragonal

abc: 8.426 8.426 3.510
angles: 90.00 90.00 90.00
Space group P4/mbm (No. 127)
One atom of each set of equivalent atoms:
Y (0.180, 0.320, 0.000) x4
Zn (0.112, 0.612, 0.500) x4
Hg (0.000, 0.000, 0.000) x2

--- four ---
First-principles (PBE-GGA) data for a geometry-optimized Y2Zn2Hg structure, as listed in the Alexandria database.

Calculated volume in Å³/cell: 227
Crystal system: tetragonal

abc: 7.331 7.331 4.228
angles: 90.00 90.00 90.00
Space group P4/mbm (No. 127)
One atom of each set of equivalent atoms:
Y (0.173, 0.327, 0.000) x4
Zn (0.124, 0.624, 0.500) x4
Hg (0.000, 0.000, 0.500) x2

Referenced to the most stable arrangement, the calculated values in eV/atom are one 0.316; two 0.221; three 0.248; four 0.000.

--- one ---
First-principles (PBE-GGA) data for a geometry-optimized YZn3Hg structure, as listed in the Alexandria database.

Calculated volume in Å³/cell: 398
Crystal system: orthorhombic

abc: 8.625 4.278 10.790
angles: 90.00 90.00 90.00
Space group Pnma (No. 62)
One atom of each set of equivalent atoms:
Y (0.187, 0.250, 0.003) x4
Zn (0.079, 0.750, 0.190) x4
Zn (0.119, 0.750, 0.808) x4
Zn (0.137, 0.250, 0.654) x4
Hg (0.077, 0.250, 0.394) x4

--- two ---
First-principles (PBE-GGA) data for a geometry-optimized YZn3Hg structure, as listed in the Alexandria database.

Calculated volume in Å³/cell: 190
Crystal system: cubic

abc: 5.749 5.749 5.749
angles: 90.00 90.00 90.00
Space group Pm-3m (No. 221)
One atom of each set of equivalent atoms:
Y (0.000, 0.000, 0.000) x1
Zn (0.000, 0.000, 0.500) x3
Hg (0.500, 0.500, 0.500) x1

--- three ---
First-principles (PBE-GGA) data for a geometry-optimized YZn3Hg structure, as listed in the Alexandria database.

Calculated volume in Å³/cell: 119
Crystal system: cubic

abc: 4.923 4.923 4.923
angles: 90.00 90.00 90.00
Space group Pm-3m (No. 221)
One atom of each set of equivalent atoms:
Y (0.000, 0.000, 0.000) x1
Zn (0.000, 0.500, 0.500) x3
Hg (0.500, 0.500, 0.500) x1

Referenced to the most stable arrangement, the calculated values in eV/atom are one 0.000; two 0.974; three 0.520.

--- one ---
First-principles (PBE-GGA) data for a geometry-optimized Y3ZnHg structure, as listed in the Alexandria database.

Calculated volume in Å³/cell: 157
Crystal system: cubic

abc: 5.398 5.398 5.398
angles: 90.00 90.00 90.00
Space group Pm-3m (No. 221)
One atom of each set of equivalent atoms:
Y (0.000, 0.000, 0.500) x3
Zn (0.000, 0.000, 0.000) x1
Hg (0.500, 0.500, 0.500) x1

--- two ---
First-principles (PBE-GGA) data for a geometry-optimized Y3ZnHg structure, as listed in the Alexandria database.

Calculated volume in Å³/cell: 529
Crystal system: orthorhombic

abc: 5.133 20.074 5.136
angles: 90.00 90.00 90.00
Space group Cmcm (No. 63)
One atom of each set of equivalent atoms:
Y (0.000, 0.064, 0.250) x4
Y (0.000, 0.249, 0.250) x4
Y (0.000, 0.433, 0.250) x4
Zn (0.000, 0.157, 0.750) x4
Hg (0.000, 0.341, 0.750) x4

Referenced to the most stable arrangement, the calculated values in eV/atom are one 0.465; two 0.000.

--- one ---
First-principles (PBE-GGA) data for a geometry-optimized YZr3Hg structure, as listed in the Alexandria database.

Calculated volume in Å³/cell: 151
Crystal system: cubic

abc: 5.329 5.329 5.329
angles: 90.00 90.00 90.00
Space group Pm-3m (No. 221)
One atom of each set of equivalent atoms:
Y (0.000, 0.000, 0.000) x1
Zr (0.000, 0.500, 0.500) x3
Hg (0.500, 0.500, 0.500) x1

--- two ---
First-principles (PBE-GGA) data for a geometry-optimized YZr3Hg structure, as listed in the Alexandria database.

Calculated volume in Å³/cell: 141
Crystal system: cubic

abc: 5.210 5.210 5.210
angles: 90.00 90.00 90.00
Space group Pm-3m (No. 221)
One atom of each set of equivalent atoms:
Y (0.000, 0.000, 0.000) x1
Zr (0.000, 0.000, 0.500) x3
Hg (0.500, 0.500, 0.500) x1

Referenced to the most stable arrangement, the calculated values in eV/atom are one 0.000; two 0.557.